No. 1
An optimized crystal structure of Al2InSe, computed with PBE.

```
Al2InSe
1.0
7.609 -0.027 -0.016
6.722 3.566 -0.016
6.722 1.660 3.156
Al Se In
2 1 1
Direct
0.006 0.006 0.006 Al
0.494 0.494 0.494 Al
0.750 0.750 0.750 Se
0.250 0.250 0.250 In
```

Values from the calculation:
excess energy over the best structure of this formula in the dataset: 0.0045 eV per atom
magnetic moment: 0.00 μB/f.u.

---

No. 2
An optimized crystal structure of Tb14ErSc, computed with PBE.

```
Tb14ErSc
1.0
-5.656 3.413 -2.567
1.056 -3.010 -6.329
-5.831 -7.656 2.668
Tb Er Sc
14 1 1
Direct
0.375 0.625 0.500 Tb
0.875 0.125 0.500 Tb
0.875 0.625 0.000 Tb
0.875 0.625 0.500 Tb
0.375 0.125 0.000 Tb
0.375 0.125 0.500 Tb
0.624 0.874 0.753 Tb
0.624 0.874 0.247 Tb
0.126 0.376 0.753 Tb
0.126 0.376 0.247 Tb
0.126 0.874 0.753 Tb
0.126 0.874 0.247 Tb
0.624 0.376 0.753 Tb
0.624 0.376 0.247 Tb
0.875 0.125 0.000 Er
0.375 0.625 0.000 Sc
```

Values from the calculation:
E_form: 2.08 kJ per mole of atoms
magnetic moment: 0.00 μB/f.u.

---

No. 3
An optimized crystal structure of Ti2SnAu2, computed with PBE.

```
Ti2SnAu2
1.0
7.655 0.000 0.000
0.000 7.655 0.000
0.000 0.000 3.209
Au Sn Ti
4 2 4
Direct
0.372 0.872 0.000 Au
0.872 0.629 0.000 Au
0.629 0.128 0.000 Au
0.128 0.372 0.000 Au
0.000 0.000 0.000 Sn
0.500 0.500 0.000 Sn
0.168 0.668 0.500 Ti
0.668 0.832 0.500 Ti
0.832 0.332 0.500 Ti
0.332 0.168 0.500 Ti
```

Values from the calculation:
excess energy over the best structure of this formula in the dataset: 0.0000 eV per atom
E_form: -25.12 kJ per mole of atoms
magnetic moment: 0.84 μB/f.u.

---

No. 4
An optimized crystal structure of PrDy6Th2, computed with PBE.

```
PrDy6Th2
1.0
3.483 -0.173 0.318
-0.010 8.496 4.791
-0.876 0.121 9.714
Pr Dy Th
1 6 2
Direct
0.000 0.000 0.000 Pr
0.500 0.336 0.000 Dy
0.500 0.000 0.664 Dy
0.500 0.664 0.000 Dy
0.500 0.336 0.664 Dy
0.500 0.000 0.336 Dy
0.500 0.664 0.336 Dy
0.000 0.667 0.667 Th
0.000 0.333 0.333 Th
```

Values from the calculation:
excess energy over the best structure of this formula in the dataset: 0.0000 eV per atom
E_form: 5.76 kJ per mole of atoms
magnetic moment: 0.00 μB/f.u.

---

Question: Which of these has the highest magnetic moment?
Answer: Ti2SnAu2

---

Question: Which formula does entry 4 have?
Answer: PrDy6Th2

---

Question: The highest magnetic moment belongs to which entry?
Answer: Ti2SnAu2